(1)
This record from Alexandria describes TlHgBr2 after structural relaxation. The functional is GGA-PBE.

The structure belongs to space group Cm (No. 8); the cell edges are 14.7781, 4.3124 and 4.2965 Å and the angles 90.00°, 91.43° and 90.00°. The inequivalent atoms are Tl at (0.0000, 0.0000, 0.0000), Hg at (0.2841, 0.5000, 0.5279), Br at (0.0796, 0.5000, 0.5077) and Br at (0.3001, 0.0000, 0.0308).

The formation energy without anion corrections is -0.495 eV/atom.

(2)
This record from Alexandria describes ZnGe after structural relaxation. The functional is GGA-PBE.

The structure belongs to space group Pmn2_1 (No. 31); the cell edges are 10.0710, 4.4342 and 5.0974 Å and the angles 90.00°, 90.00° and 90.00°. The inequivalent atoms are Zn at (0.0000, 0.1278, 0.0000), Zn at (0.1308, 0.6052, 0.7374), Ge at (0.0000, 0.6167, 0.2745) and Ge at (0.2396, 0.8833, 0.2421).

The value obtained for the formation energy is 179.1 meV per atom.

(3)
This record from Alexandria describes AcNdSe3 after structural relaxation. The functional is GGA-PBE.

The structure belongs to space group Pnma (No. 62); the cell edges are 8.0196, 4.3801 and 16.6705 Å and the angles 90.00°, 90.00° and 90.00°. The inequivalent atoms are Ac at (0.1421, 0.2500, 0.2001), Nd at (0.2304, 0.7500, 0.4563), Se at (0.0104, 0.2500, 0.3945), Se at (0.1252, 0.7500, 0.0605) and Se at (0.1504, 0.2500, 0.7843).

The formation energy without anion corrections is -1.977 eV/atom.

(4)
This record from Alexandria describes BaCaNbSi2 after structural relaxation. The functional is GGA-PBE.

The structure belongs to space group P4/mmm (No. 123); the cell edges are 5.0967, 5.0967 and 5.5778 Å and the angles 90.00°, 90.00° and 90.00°. The inequivalent atoms are Ba at (0.0000, 0.0000, 0.0000), Ca at (0.5000, 0.5000, 0.0000), Nb at (0.0000, 0.0000, 0.5000) and Si at (0.0000, 0.5000, 0.5000).

The formation energy without anion corrections is 0.419 eV/atom.

(5)
This record from Alexandria describes Tc2NiPb2 after structural relaxation. The functional is GGA-PBE.

The structure belongs to space group I4/mmm (No. 139); the cell edges are 5.3999, 5.3999 and 7.2567 Å and the angles 90.00°, 90.00° and 90.00°. The inequivalent atoms are Tc at (0.0000, 0.0000, 0.1515), Ni at (0.0000, 0.0000, 0.5000) and Pb at (0.0000, 0.5000, 0.2500).

The value obtained for the formation energy is 890.6 meV per atom.

(6)
This record from Alexandria describes GeRh2I after structural relaxation. The functional is GGA-PBE.

The structure belongs to space group Fm-3m (No. 225); the cell edges are 6.5225, 6.5225 and 6.5225 Å and the angles 90.00°, 90.00° and 90.00°. The inequivalent atoms are Ge at (0.0000, 0.0000, 0.0000), Rh at (0.2500, 0.2500, 0.2500) and I at (0.0000, 0.0000, 0.5000).

The formation energy without anion corrections is 0.310 eV/atom.

(7)
This record from Alexandria describes Li2YBr after structural relaxation. The functional is GGA-PBE.

The structure belongs to space group P4/mmm (No. 123); the cell edges are 4.1224, 4.1224 and 5.7009 Å and the angles 90.00°, 90.00° and 90.00°. The inequivalent atoms are Li at (0.0000, 0.5000, 0.0000), Y at (0.0000, 0.0000, 0.5000) and Br at (0.5000, 0.5000, 0.5000).

The formation energy without anion corrections is -0.272 eV/atom.

(8)
This record from Alexandria describes K2ZrSi after structural relaxation. The functional is GGA-PBE.

The structure belongs to space group Cmmm (No. 65); the cell edges are 5.7982, 12.0209 and 3.3896 Å and the angles 90.00°, 90.00° and 90.00°. The inequivalent atoms are K at (0.2500, 0.2500, 0.0000), Zr at (0.0000, 0.0000, 0.5000) and Si at (0.0000, 0.5000, 0.5000).

The formation energy without anion corrections is 0.732 eV/atom.